No. 1
Below is a relaxed structure of PaTcGe, with properties calculated at the GGA-PBE level.

abc: 3.417 4.449 4.449
angles: 120.00 90.00 90.00
Fractional positions:
Ge  0.167  0.667  0.333
Pa  0.667  0.333  0.667
Tc  0.167  0.000  0.000

The value obtained for the magnetic moment is 0.0 μB per cell. As for the crystal system: hexagonal. Its symmetry is P-6m2, No. 187. The energy of formation comes out at -0.362 eV/atom. The calculation puts the energy above the most stable polymorph in this dataset at 0.1517 eV per atom. For the density, the calculation gives 11.39 g/cm³. The density of states at the Fermi level comes out at 5.13 states/eV/cell.

No. 2
Below is a relaxed structure of Ag2RhN, with properties calculated at the GGA-PBE level.

abc: 4.989 4.989 7.105
angles: 69.45 69.45 90.00
Each line ends with the local moment (μB).
Fractional positions:
Rh  0.000  0.000  0.000  1.06
Rh  0.750  0.250  0.500  1.08
Ag  0.482  0.125  0.250  0.06
Ag  0.268  0.625  0.250  0.06
Ag  0.375  0.518  0.750  0.06
Ag  0.875  0.732  0.750  0.06
N  0.500  0.500  0.000  0.12
N  0.250  0.750  0.500  0.12

The value obtained for the magnetic moment is 2.8 μB per cell. Its formation energy from raw total energies is 1.51 eV/atom. As for the crystal system: tetragonal. Its symmetry is I-42d, No. 122. For the density, the calculation gives 7.20 g/cm³. The density of states at the Fermi level comes out at 12.75 states/eV/cell.

No. 3
Below is a relaxed structure of Ba2ScZn2, with properties calculated at the GGA-PBE level.

abc: 7.651 7.651 5.510
angles: 90.00 90.00 90.00
Fractional positions:
Sc  0.000  0.000  0.000
Sc  0.500  0.500  0.000
Zn  0.379  0.879  0.000
Zn  0.879  0.621  0.000
Zn  0.621  0.121  0.000
Zn  0.121  0.379  0.000
Ba  0.186  0.686  0.500
Ba  0.686  0.814  0.500
Ba  0.814  0.314  0.500
Ba  0.314  0.186  0.500

The value obtained for the magnetic moment is 0.0 μB per cell. As for the crystal system: tetragonal. Its symmetry is P4/mbm, No. 127. The energy of formation comes out at 0.032 eV/atom. The calculation puts the energy above the most stable polymorph in this dataset at 0.0000 eV per atom. For the density, the calculation gives 4.64 g/cm³. The density of states at the Fermi level comes out at 15.59 states/eV/cell.

No. 4
Below is a relaxed structure of SrZr2Ni, with properties calculated at the GGA-PBE level.

abc: 9.717 9.717 9.717
angles: 21.37 21.37 21.37
Fractional positions:
Ni  0.250  0.250  0.250
Sr  0.750  0.750  0.750
Zr  0.970  0.970  0.970
Zr  0.530  0.530  0.530

The value obtained for the magnetic moment is 0.0 μB per cell. As for the crystal system: trigonal. Its symmetry is R-3m, No. 166. The energy of formation comes out at 0.235 eV/atom. The calculation puts the energy above the most stable polymorph in this dataset at 0.2171 eV per atom. For the density, the calculation gives 5.12 g/cm³. The density of states at the Fermi level comes out at 3.12 states/eV/cell.

No. 5
Below is a relaxed structure of Fe2TeMo, with properties calculated at the GGA-PBE level.

abc: 3.272 3.272 5.817
angles: 90.00 90.00 90.00
Each line ends with the local moment (μB).
Fractional positions:
Fe  0.000  0.000  0.033  2.59
Fe  0.500  0.500  0.228  2.53
Mo  0.000  0.000  0.486  -0.07
Te  0.500  0.500  0.753  0.03

The value obtained for the magnetic moment is 5.2 μB per cell. Its formation energy from raw total energies is 0.34 eV/atom. As for the crystal system: tetragonal. Its symmetry is P4mm, No. 99. The calculation puts the energy above the most stable polymorph in this dataset at 0.0000 eV per atom. For the density, the calculation gives 8.94 g/cm³. The density of states at the Fermi level comes out at 5.36 states/eV/cell.

No. 6
Below is a relaxed structure of KLa2Mg, with properties calculated at the GGA-PBE level.

abc: 6.235 6.235 7.556
angles: 82.56 82.56 32.58
Fractional positions:
K  0.245  0.245  0.272
La  0.016  0.016  0.920
La  0.749  0.749  0.764
Mg  0.490  0.490  0.544

The value obtained for the magnetic moment is 0.0 μB per cell. As for the crystal system: monoclinic. Its symmetry is Cm, No. 8. The energy of formation comes out at 0.274 eV/atom. For the density, the calculation gives 3.62 g/cm³. The density of states at the Fermi level comes out at 4.31 states/eV/cell.

No. 7
Below is a relaxed structure of TbGePt, with properties calculated at the GGA-PBE level.

abc: 3.841 3.841 5.093
angles: 112.15 112.15 90.00
Fractional positions:
Ge  0.957  0.957  0.914
Tb  0.628  0.628  0.256
Pt  0.265  0.265  0.530

The value obtained for the magnetic moment is 0.0 μB per cell. As for the crystal system: tetragonal. Its symmetry is I4mm, No. 107. The energy of formation comes out at -0.659 eV/atom. For the density, the calculation gives 11.15 g/cm³. The density of states at the Fermi level comes out at 1.38 states/eV/cell.

No. 8
Below is a relaxed structure of GdThFeRu, with properties calculated at the GGA-PBE level.

abc: 4.915 4.915 4.915
angles: 60.00 60.00 60.00
Each line ends with the local moment (μB).
Fractional positions:
Ru  0.000  0.000  0.000  0.12
Gd  0.250  0.250  0.250  6.86
Fe  0.500  0.500  0.500  1.79
Th  0.750  0.750  0.750  -0.20

The value obtained for the magnetic moment is 8.5 μB per cell. As for the crystal system: cubic. Its symmetry is F-43m, No. 216. The energy of formation comes out at -0.089 eV/atom. For the density, the calculation gives 10.80 g/cm³. The density of states at the Fermi level comes out at 4.78 states/eV/cell.